[1]
This record from the Alexandria database describes OsBrCl3 after structural relaxation. The functional is PBE.

a = 7.989 Å, b = 7.392 Å, c = 13.576 Å
α = 90.00°, β = 123.49°, γ = 90.00°
Space group P2_1/c (No. 14)
Unique sites:
Os1 0.088 0.141 0.016 [4 per cell]
Br1 0.361 0.160 0.538 [4 per cell]
Cl1 0.121 0.728 0.160 [4 per cell]
Cl2 0.223 0.178 0.209 [4 per cell]
Cl3 0.273 0.572 0.494 [4 per cell]

E_tot in eV per formula unit: -19.0
Density of states at the Fermi level in states/eV per cell: 5.34
Polymorph energy (0 for the lowest one) in eV/atom: 0.173
Theoretical density in g/cm3: 3.740

[2]
This record from the Alexandria database describes OsBr3Cl after structural relaxation. The functional is PBE.

a = 5.333 Å, b = 5.333 Å, c = 5.333 Å
α = 90.00°, β = 90.00°, γ = 90.00°
Space group Pm-3m (No. 221)
Unique sites:
Os1 0.000 0.000 0.000 [1 per cell]
Br1 0.000 0.500 0.500 [3 per cell]
Cl1 0.500 0.500 0.500 [1 per cell]

E_tot in eV per formula unit: -10.1
Density of states at the Fermi level in states/eV per cell: 6.42
Polymorph energy (0 for the lowest one) in eV/atom: 1.756
Theoretical density in g/cm3: 5.095

[3]
This record from the Alexandria database describes OsBrCl3 after structural relaxation. The functional is PBE.

a = 9.958 Å, b = 6.117 Å, c = 13.278 Å
α = 90.00°, β = 131.26°, γ = 90.00°
Space group P2_1/c (No. 14)
Unique sites:
Os1 0.003 0.072 0.134 [4 per cell]
Br1 0.309 0.199 0.269 [4 per cell]
Cl1 0.072 0.732 0.563 [4 per cell]
Cl2 0.088 0.591 0.834 [4 per cell]
Cl3 0.282 0.052 0.991 [4 per cell]

E_tot in eV per formula unit: -19.8
Polymorph energy (0 for the lowest one) in eV/atom: 0.000
Theoretical density in g/cm3: 4.113

[4]
This record from the Alexandria database describes OsBr2Cl6 after structural relaxation. The functional is PBE.

a = 7.617 Å, b = 9.274 Å, c = 10.836 Å
α = 90.00°, β = 125.80°, γ = 90.00°
Space group P2_1/c (No. 14)
Unique sites:
Os1 0.000 0.000 0.000 [2 per cell]
Br1 0.164 0.110 0.415 [4 per cell]
Cl1 0.154 0.577 0.752 [4 per cell]
Cl2 0.183 0.222 0.097 [4 per cell]
Cl3 0.291 0.592 0.517 [4 per cell]

E_tot in eV per formula unit: -27.9
Theoretical density in g/cm3: 3.010

[5]
This record from the Alexandria database describes OsBrCl3 after structural relaxation. The functional is PBE.

a = 4.786 Å, b = 4.786 Å, c = 4.786 Å
α = 90.00°, β = 90.00°, γ = 90.00°
Space group Pm-3m (No. 221)
Unique sites:
Os1 0.000 0.000 0.000 [1 per cell]
Br1 0.500 0.500 0.500 [1 per cell]
Cl1 0.000 0.000 0.500 [3 per cell]

E_tot in eV per formula unit: -16.9
Density of states at the Fermi level in states/eV per cell: 6.24
Polymorph energy (0 for the lowest one) in eV/atom: 0.593
Theoretical density in g/cm3: 5.704

[6]
This record from the Alexandria database describes OsBr2Cl3 after structural relaxation. The functional is PBE.

a = 13.144 Å, b = 7.123 Å, c = 10.127 Å
α = 90.00°, β = 116.61°, γ = 90.00°
Space group C2/c (No. 15)
Unique sites:
Os1 0.000 0.243 0.250 [4 per cell]
Br1 0.111 0.426 0.457 [8 per cell]
Cl1 0.000 0.069 0.750 [4 per cell]
Cl2 0.147 0.235 0.181 [8 per cell]

E_tot in eV per formula unit: -21.2
Density of states at the Fermi level in states/eV per cell: 14.58
Theoretical density in g/cm3: 3.576

no.,total magnetization (μB/f.u.)
1,0.98
2,4.94
3,1.99
4,2.09
5,1.53
6,1.01